VASP calculation (PBE) on Ce4PSe2S after structural relaxation.

The value obtained for the magnetic moment is 3.0 μB per cell. Its raw formation energy is -1.818 eV per atom. As for the space group: No. 10. For the density, the calculation gives 6.51 g/cm3. Its density of states at the Fermi level is 2.735 states/eV/atom.

a = 7.1239 Å, b = 4.1159 Å, c = 7.2000 Å
α = 90.00°, β = 109.27°, γ = 90.00°
Last column: nearest neighbours and their distance in Å.
Sites, in units of the cell vectors:
Ce 0.2442 0.0000 0.2342  2 P 2.86, 1 S 2.86, 3 Se 2.98-2.99
Ce 0.2546 0.5000 0.7659  1 P 2.85, 2 S 2.86, 3 Se 2.98-2.99
Ce 0.7454 0.5000 0.2341  1 P 2.85, 2 S 2.86, 3 Se 2.98-2.99
Ce 0.7558 0.0000 0.7658  2 P 2.86, 1 S 2.86, 3 Se 2.98-2.99
P 0.0000 0.5000 0.0000  6 Ce 2.85-2.86
Se 0.0000 0.0000 0.5000  6 Ce 2.98
Se 0.5000 0.5000 0.5000  6 Ce 2.99
S 0.5000 0.0000 0.0000  6 Ce 2.86


VASP calculation (PBE) on Cr2RhBr after structural relaxation.

The value obtained for the magnetic moment is 1.0 μB per cell. Its raw formation energy is 0.441 eV per atom. As for the space group: No. 160. For the density, the calculation gives 7.36 g/cm3. Its relative energy among the computed polymorphs is 109.4 meV/atom. Its density of states at the Fermi level is 1.527 states/eV/atom.

a = 8.3308 Å, b = 8.3308 Å, c = 8.3308 Å
α = 20.95°, β = 20.95°, γ = 20.95°
Last column: nearest neighbours and their distance in Å.
Sites, in units of the cell vectors:
Cr 0.0000 0.0000 0.0000  3 Cr 2.52, 3 Br 2.63
Cr 0.2589 0.2589 0.2589  3 Rh 2.51, 3 Cr 2.52
Rh 0.5187 0.5187 0.5187  3 Cr 2.51
Br 0.7468 0.7468 0.7468  3 Cr 2.63


VASP calculation (PBE) on AsPC after structural relaxation.

The value obtained for the magnetic moment is 0.0 μB per cell. The formation energy is 0.38 eV/atom. As for the space group: No. 156. For the density, the calculation gives 4.20 g/cm3. Its relative energy among the computed polymorphs is 1.3 meV/atom. Its density of states at the Fermi level is 0.186 states/eV/atom.

a = 2.9042 Å, b = 2.9042 Å, c = 6.3891 Å
α = 90.00°, β = 90.00°, γ = 120.00°
Last column: nearest neighbours and their distance in Å.
Sites, in units of the cell vectors:
As 0.0000 0.0000 0.0000  1 C 2.04
P 0.3333 0.6667 0.5502  3 C 1.87
C 0.0000 0.0000 0.6805  3 P 1.87, 1 As 2.04


VASP calculation (PBE) on ScBeIn2 after structural relaxation.

The value obtained for the magnetic moment is 0.0 μB per cell. The formation energy is 0.04 eV/atom. As for the space group: No. 10. For the density, the calculation gives 5.70 g/cm3. Its density of states at the Fermi level is 0.573 states/eV/atom.

a = 3.2516 Å, b = 4.3384 Å, c = 5.8558 Å
α = 90.00°, β = 90.09°, γ = 90.00°
Last column: nearest neighbours and their distance in Å.
Sites, in units of the cell vectors:
Sc 0.0000 0.0000 0.0000  8 In 3.09, 2 Sc 3.25, 4 Be 3.35
Be 0.5000 0.0000 0.5000  4 In 2.60
In 0.4981 0.5000 0.7461  2 Be 2.60, 1 In 2.88
In 0.5019 0.5000 0.2539  2 Be 2.60, 1 In 2.88


VASP calculation (PBE) on LiTi2Al3 after structural relaxation.

The value obtained for the magnetic moment is 0.0 μB per cell. The formation energy is -0.32 eV/atom. As for the space group: No. 123. For the density, the calculation gives 3.20 g/cm3. Its density of states at the Fermi level is 0.652 states/eV/atom.

a = 2.9050 Å, b = 2.9050 Å, c = 11.2741 Å
α = 90.00°, β = 90.00°, γ = 90.00°
Last column: nearest neighbours and their distance in Å.
Sites, in units of the cell vectors:
Li 0.0000 0.0000 0.0000  8 Al 2.73, 4 Li 2.91
Ti 0.0000 0.0000 0.3272  8 Al 2.79-2.83, 4 Ti 2.91
Ti 0.0000 0.0000 0.6728  8 Al 2.79-2.83, 4 Ti 2.91
Al 0.5000 0.5000 0.1601  4 Li 2.73, 4 Ti 2.79, 4 Al 2.91
Al 0.5000 0.5000 0.5000  8 Ti 2.83, 4 Al 2.91
Al 0.5000 0.5000 0.8399  4 Li 2.73, 4 Ti 2.79, 4 Al 2.91


VASP calculation (PBE) on Fe2Co2Pt3 after structural relaxation.

The value obtained for the magnetic moment is 10.6 μB per cell. The formation energy is -0.14 eV/atom. As for the space group: No. 65. For the density, the calculation gives 14.30 g/cm3. Its density of states at the Fermi level is 0.767 states/eV/atom.

a = 9.1158 Å, b = 9.1158 Å, c = 2.6790 Å
α = 90.00°, β = 90.00°, γ = 154.84°
Last column: nearest neighbours and their distance in Å.
Sites, in units of the cell vectors:
Fe 0.0753 0.9247 0.0000  1 Co 2.49, 3 Fe 2.68, 8 Pt 2.74-2.77
Fe 0.9247 0.0753 0.0000  1 Co 2.49, 3 Fe 2.68, 8 Pt 2.74-2.77
Co 0.2152 0.7848 0.0000  2 Co 2.34, 1 Fe 2.49
Co 0.7848 0.2152 0.0000  2 Co 2.34, 1 Fe 2.49
Pt 0.3470 0.6530 0.5000  6 Co 2.64-2.70, 3 Pt 2.68-2.72, 4 Fe 2.77
Pt 0.5000 0.5000 0.5000  4 Pt 2.68-2.72, 8 Fe 2.74
Pt 0.6530 0.3470 0.5000  6 Co 2.64-2.70, 3 Pt 2.68-2.72, 4 Fe 2.77


VASP calculation (PBE) on Cs5Na2Hg4 after structural relaxation.

The value obtained for the magnetic moment is 0.0 μB per cell. The formation energy is -0.15 eV/atom. As for the space group: No. 12. For the density, the calculation gives 4.05 g/cm3. Its density of states at the Fermi level is 0.585 states/eV/atom.

a = 8.2435 Å, b = 8.2435 Å, c = 10.1682 Å
α = 105.32°, β = 105.32°, γ = 71.68°
Last column: nearest neighbours and their distance in Å.
Sites, in units of the cell vectors:
Cs 0.0000 0.0000 0.0000  4 Hg 3.86-4.02
Cs 0.0772 0.5567 0.3066  4 Hg 3.82-4.06, 1 Na 4.25
Cs 0.4433 0.9228 0.6934  4 Hg 3.82-4.06, 1 Na 4.25
Cs 0.5567 0.0772 0.3066  4 Hg 3.82-4.06, 1 Na 4.25
Cs 0.9228 0.4433 0.6934  4 Hg 3.82-4.06, 1 Na 4.25
Na 0.4544 0.4544 0.8105  2 Hg 3.22-3.24
Na 0.5456 0.5456 0.1895  2 Hg 3.22-3.24
Hg 0.0695 0.0695 0.3994  1 Hg 3.18
Hg 0.2996 0.2996 0.9959  2 Na 3.22-3.24
Hg 0.7004 0.7004 0.0041  2 Na 3.22-3.24
Hg 0.9305 0.9305 0.6006  1 Hg 3.18


VASP calculation (PBE) on Pm3GeSb after structural relaxation.

The value obtained for the magnetic moment is 0.0 μB per cell. Its raw formation energy is -0.720 eV per atom. As for the space group: No. 15. For the density, the calculation gives 6.61 g/cm3. Its relative energy among the computed polymorphs is 0.0 meV/atom. Its density of states at the Fermi level is 0.908 states/eV/atom.

a = 9.4453 Å, b = 9.4453 Å, c = 7.3556 Å
α = 97.57°, β = 97.57°, γ = 99.91°
Last column: nearest neighbours and their distance in Å.
Sites, in units of the cell vectors:
Pm 0.0339 0.7783 0.9314  1 Ge 2.97, 3 Sb 3.17-3.26
Pm 0.1461 0.5689 0.3754  2 Ge 2.90-2.94, 1 Sb 3.23
Pm 0.2217 0.9661 0.5686  1 Ge 2.97, 3 Sb 3.17-3.26
Pm 0.2889 0.4277 0.8716  3 Ge 2.96-2.98, 1 Sb 3.20
Pm 0.4277 0.2889 0.3716  3 Ge 2.96-2.98, 1 Sb 3.20
Pm 0.4311 0.8539 0.1246  2 Ge 2.90-2.94, 1 Sb 3.23
Pm 0.5689 0.1461 0.8754  2 Ge 2.90-2.94, 1 Sb 3.23
Pm 0.5723 0.7111 0.6284  3 Ge 2.96-2.98, 1 Sb 3.20
Pm 0.7111 0.5723 0.1284  3 Ge 2.96-2.98, 1 Sb 3.20
Pm 0.7783 0.0339 0.4314  1 Ge 2.97, 3 Sb 3.17-3.26
Pm 0.8539 0.4311 0.6246  2 Ge 2.90-2.94, 1 Sb 3.23
Pm 0.9661 0.2217 0.0686  1 Ge 2.97, 3 Sb 3.17-3.26
Ge 0.2841 0.7159 0.7500  6 Pm 2.94-2.98
Ge 0.4254 0.5746 0.2500  6 Pm 2.90-2.96
Ge 0.5746 0.4254 0.7500  6 Pm 2.90-2.96
Ge 0.7159 0.2841 0.2500  6 Pm 2.94-2.98
Sb 0.0964 0.2487 0.4939  7 Pm 3.17-3.34
Sb 0.2487 0.0964 0.9939  7 Pm 3.17-3.34
Sb 0.7513 0.9036 0.0061  7 Pm 3.17-3.34
Sb 0.9036 0.7513 0.5061  7 Pm 3.17-3.34


VASP calculation (PBE) on RbSiAu3 after structural relaxation.

The value obtained for the magnetic moment is 0.0 μB per cell. Its raw formation energy is -0.102 eV per atom. As for the space group: No. 63. For the density, the calculation gives 8.38 g/cm3. Its relative energy among the computed polymorphs is 172.6 meV/atom. Its density of states at the Fermi level is 0.356 states/eV/atom.

a = 8.7970 Å, b = 8.7970 Å, c = 5.4258 Å
α = 90.00°, β = 90.00°, γ = 138.34°
Last column: nearest neighbours and their distance in Å.
Sites, in units of the cell vectors:
Rb 0.0960 0.9040 0.7500  10 Au 3.48-3.76
Rb 0.9040 0.0960 0.2500  10 Au 3.48-3.76
Si 0.3753 0.6247 0.7500  4 Au 2.35-2.46
Si 0.6247 0.3753 0.2500  4 Au 2.35-2.46
Au 0.0004 0.4418 0.7500  1 Si 2.35
Au 0.9996 0.5582 0.2500  1 Si 2.35
Au 0.4418 0.0004 0.2500  1 Si 2.35
Au 0.5000 0.5000 0.0000  2 Si 2.46, 2 Au 2.71
Au 0.5000 0.5000 0.5000  2 Si 2.46, 2 Au 2.71
Au 0.5582 0.9996 0.7500  1 Si 2.35


VASP calculation (PBE) on LaSeO after structural relaxation.

The value obtained for the magnetic moment is 0.0 μB per cell. Its raw formation energy is -2.090 eV per atom. As for the space group: No. 8. For the density, the calculation gives 5.59 g/cm3. Its density of states at the Fermi level is 0.474 states/eV/atom.

a = 6.1316 Å, b = 6.1316 Å, c = 3.4674 Å
α = 90.25°, β = 90.25°, γ = 32.18°
Last column: nearest neighbours and their distance in Å.
Sites, in units of the cell vectors:
La 0.0000 0.0000 0.0000  4 O 2.43-2.45
Se 0.2688 0.2688 0.9904  3 La 3.17-3.21, 4 Se 3.40-3.47, 2 O 3.43-3.44
O 0.5204 0.5204 0.4979  4 La 2.43-2.45


VASP calculation (PBE) on Ho4PtSeS2 after structural relaxation.

The value obtained for the magnetic moment is 0.0 μB per cell. Its raw formation energy is -1.706 eV per atom. As for the space group: No. 10. For the density, the calculation gives 9.20 g/cm3. Its density of states at the Fermi level is 0.501 states/eV/atom.

a = 6.9653 Å, b = 3.9134 Å, c = 6.9803 Å
α = 90.00°, β = 108.81°, γ = 90.00°
Last column: nearest neighbours and their distance in Å.
Sites, in units of the cell vectors:
Ho 0.2402 0.0000 0.2394  3 S 2.76-2.83, 1 Pt 2.84, 2 Se 2.88
Ho 0.2415 0.5000 0.7503  3 S 2.79-2.84, 2 Pt 2.80, 1 Se 2.88
Ho 0.7585 0.5000 0.2497  3 S 2.79-2.84, 2 Pt 2.80, 1 Se 2.88
Ho 0.7598 0.0000 0.7606  3 S 2.76-2.83, 1 Pt 2.84, 2 Se 2.88
Pt 0.0000 0.0000 0.5000  6 Ho 2.80-2.84
Se 0.5000 0.5000 0.5000  6 Ho 2.88
S 0.0000 0.5000 0.0000  6 Ho 2.76-2.79
S 0.5000 0.0000 0.0000  6 Ho 2.83-2.84


VASP calculation (PBE) on ThTi2Ni2Sb2 after structural relaxation.

The value obtained for the magnetic moment is 2.1 μB per cell. Its raw formation energy is -0.507 eV per atom. As for the space group: No. 166. For the density, the calculation gives 8.41 g/cm3. Its density of states at the Fermi level is 0.551 states/eV/atom.

a = 8.7516 Å, b = 8.7516 Å, c = 8.7516 Å
α = 28.63°, β = 28.63°, γ = 28.63°
Last column: nearest neighbours and their distance in Å.
Sites, in units of the cell vectors:
Th 0.0000 0.0000 0.0000  6 Sb 3.20, 2 Ti 3.54
Ti 0.1407 0.1407 0.1407  3 Ni 2.59, 3 Ti 2.82, 1 Sb 2.85
Ti 0.8593 0.8593 0.8593  3 Ni 2.59, 3 Ti 2.82, 1 Sb 2.85
Ni 0.4475 0.4475 0.4475  3 Ti 2.59, 1 Ni 2.64, 3 Sb 2.65
Ni 0.5525 0.5525 0.5525  3 Ti 2.59, 1 Ni 2.64, 3 Sb 2.65
Sb 0.2541 0.2541 0.2541  3 Ni 2.65, 4 Ti 2.85-2.94
Sb 0.7459 0.7459 0.7459  3 Ni 2.65, 4 Ti 2.85-2.94